1.
Entry from the Alexandria database: an optimized crystal structure of BaReB2Pt (PBE-GGA).

Final energy, eV/atom: -3.3350
Total magnetization, μB per formula unit: 0.00
Formation energy from the elements, eV per atom: 3.42

a = 4.5082 Å, b = 5.2247 Å, c = 4.5082 Å
α = 90.00°, β = 90.00°, γ = 90.00°
Sites, in units of the cell vectors:
Re  0.5000  0.5000  0.5000
B  0.0000  0.0000  0.5000
B  0.5000  0.0000  0.0000
Pt  0.0000  0.5000  0.0000
Ba  0.0000  0.0000  0.0000

---

2.
Entry from the Alexandria database: an optimized crystal structure of BaB2RuPt (PBE-GGA).

Final energy, eV/atom: -5.4014
Total magnetization, μB per formula unit: 1.86
Formation energy from the elements, eV per atom: 0.72

a = 4.1453 Å, b = 5.5059 Å, c = 4.1453 Å
α = 90.00°, β = 90.00°, γ = 90.00°
Sites, in units of the cell vectors:
Pt  0.0000  0.0000  0.0000
B  0.0000  0.0000  0.5000
B  0.5000  0.0000  0.0000
Ba  0.5000  0.5000  0.5000
Ru  0.0000  0.5000  0.0000

---

3.
Entry from the Alexandria database: an optimized crystal structure of Ba2BSbPt6 (PBE-GGA).

Final energy, eV/atom: -5.7040
Formation energy from raw total energies, meV per atom: -615
Total magnetization, μB per formula unit: 0.00

a = 6.1165 Å, b = 7.3498 Å, c = 6.1145 Å
α = 65.45°, β = 59.99°, γ = 90.00°
Sites, in units of the cell vectors:
Pt  0.2674  0.3351  0.4652
Pt  0.7330  0.6644  0.0682
Pt  0.2670  0.3356  0.9318
Pt  0.8012  0.3356  0.9318
Pt  0.1988  0.6644  0.0682
Pt  0.7326  0.6649  0.5348
B  0.5000  0.5000  0.0000
Ba  0.2827  0.8478  0.4347
Ba  0.7173  0.1522  0.5653
Sb  0.0000  0.0000  0.0000

---

4.
Entry from the Alexandria database: an optimized crystal structure of BaBPtSe2 (PBE-GGA).

Final energy, eV/atom: -3.7561
Formation energy from raw total energies, meV per atom: 566
Total magnetization, μB per formula unit: 0.78

a = 4.9596 Å, b = 6.0178 Å, c = 4.9596 Å
α = 90.00°, β = 90.00°, γ = 90.00°
Sites, in units of the cell vectors:
Ba  0.0000  0.5000  0.0000
Pt  0.0000  0.0000  0.0000
Se  0.5000  0.0000  0.0000
Se  0.0000  0.0000  0.5000
B  0.5000  0.5000  0.5000

---

5.
Entry from the Alexandria database: an optimized crystal structure of BaVBPt2 (PBE-GGA).

Final energy, eV/atom: -3.2868
Total magnetization, μB per formula unit: 3.96
Formation energy from the elements, eV per atom: 2.67

a = 5.3918 Å, b = 5.4746 Å, c = 5.3918 Å
α = 90.00°, β = 90.00°, γ = 90.00°
Sites, in units of the cell vectors:
Pt  0.5000  0.0000  0.0000
Pt  0.0000  0.0000  0.5000
Ba  0.0000  0.0000  0.0000
V  0.0000  0.5000  0.0000
B  0.5000  0.5000  0.5000

---

6.
Entry from the Alexandria database: an optimized crystal structure of Ba2ZnBPt6 (PBE-GGA).

Final energy, eV/atom: -5.3942
Total magnetization, μB per formula unit: 0.00
Formation energy from the elements, eV per atom: -0.59

a = 6.0640 Å, b = 7.2331 Å, c = 6.0686 Å
α = 65.17°, β = 60.03°, γ = 90.00°
Sites, in units of the cell vectors:
B  0.5000  0.5000  0.0000
Zn  0.0000  0.0000  0.0000
Pt  0.7368  0.6614  0.5263
Pt  0.2632  0.3386  0.4737
Pt  0.2633  0.3388  0.9243
Pt  0.1875  0.6612  0.0758
Pt  0.8125  0.3388  0.9242
Pt  0.7367  0.6612  0.0757
Ba  0.7136  0.1405  0.5728
Ba  0.2864  0.8595  0.4272

---

7.
Entry from the Alexandria database: an optimized crystal structure of BaZnB2Pt (PBE-GGA).

Final energy, eV/atom: -1.9337
Total magnetization, μB per formula unit: 0.00
Formation energy from the elements, eV per atom: 2.58

a = 4.7745 Å, b = 5.6083 Å, c = 4.7745 Å
α = 90.00°, β = 90.00°, γ = 90.00°
Sites, in units of the cell vectors:
B  0.5000  0.0000  0.0000
B  0.0000  0.0000  0.5000
Ba  0.0000  0.0000  0.0000
Zn  0.0000  0.5000  0.0000
Pt  0.5000  0.5000  0.5000

---

8.
Entry from the Alexandria database: an optimized crystal structure of RbBa3B (PBE-GGA).

Final energy, eV/atom: -0.9775
Total magnetization, μB per formula unit: 0.01
E above lowest polymorph, eV per atom: 1.2779
Formation energy from the elements, eV per atom: 1.71

a = 6.5326 Å, b = 6.5326 Å, c = 6.5326 Å
α = 90.00°, β = 90.00°, γ = 90.00°
Sites, in units of the cell vectors:
Ba  0.5000  0.0000  0.0000
Ba  0.0000  0.5000  0.0000
Ba  0.0000  0.0000  0.5000
Rb  0.0000  0.0000  0.0000
B  0.5000  0.5000  0.5000